Entry from Alexandria via LeMat-Bulk: crystalline Y3TaRu4 at its relaxed geometry (PBE-GGA).

Computed properties:
Raw total energy in Ry/atom: -0.6537
Crystal system: tetragonal
Energy relative to the elements in eV per atom: -0.350

Cell: 3.3116 3.3116 13.6820 Å, 90.00 90.00 90.00°
Positions (direct):
Y: 0.5000 0.5000 0.7516
Y: 0.5000 0.5000 0.5000
Y: 0.5000 0.5000 0.2484
Ru: 0.0000 0.0000 0.6288
Ru: 0.0000 0.0000 0.3712
Ru: 0.0000 0.0000 0.8928
Ru: 0.0000 0.0000 0.1072
Ta: 0.5000 0.5000 0.0000